[1]
PrDy4Er2Sc | PBE | relaxed

Unit cell a=7.027 b=9.938 c=7.051 alpha=90.00 beta=90.07 gamma=90.00
Fractional positions:
Pr1 0.000 0.000 0.000
Pr2 0.000 0.000 0.500
Dy1 0.252 0.253 0.248
Dy2 0.252 0.253 0.753
Dy3 0.252 0.747 0.248
Dy4 0.252 0.747 0.753
Dy5 0.748 0.253 0.247
Dy6 0.748 0.253 0.752
Dy7 0.748 0.747 0.247
Dy8 0.748 0.747 0.752
Er1 0.000 0.500 0.500
Er2 0.500 0.000 0.500
Er3 0.500 0.500 0.000
Er4 0.500 0.500 0.500
Sc1 0.000 0.500 0.000
Sc2 0.500 0.000 0.000

Computed properties:
E: -4.80 eV/atom
total magnetization: 0.0 μB/cell

***

[2]
PrDyEr2Sc4 | PBE | relaxed

Unit cell a=6.950 b=6.954 c=9.286 alpha=90.00 beta=90.00 gamma=90.00
Fractional positions:
Pr1 0.000 0.000 0.000
Pr2 0.500 0.000 0.000
Dy1 0.000 0.000 0.500
Dy2 0.000 0.500 0.000
Er1 0.000 0.500 0.500
Er2 0.500 0.000 0.500
Er3 0.500 0.500 0.000
Er4 0.500 0.500 0.500
Sc1 0.251 0.253 0.253
Sc2 0.251 0.253 0.747
Sc3 0.251 0.747 0.253
Sc4 0.251 0.747 0.747
Sc5 0.749 0.253 0.253
Sc6 0.749 0.253 0.747
Sc7 0.749 0.747 0.253
Sc8 0.749 0.747 0.747

Computed properties:
E: -5.43 eV/atom
total magnetization: 0.0 μB/cell

***

[3]
Pr2Dy2ErSc | PBE | relaxed

Unit cell a=5.661 b=10.847 c=6.253 alpha=90.00 beta=90.00 gamma=90.00
Fractional positions:
Pr1 0.000 0.080 0.000
Pr2 0.000 0.920 0.500
Pr3 0.500 0.257 0.171
Pr4 0.500 0.743 0.671
Dy1 0.000 0.423 0.993
Dy2 0.000 0.577 0.493
Dy3 0.500 0.091 0.668
Dy4 0.500 0.909 0.168
Er1 0.000 0.258 0.510
Er2 0.000 0.742 0.010
Sc1 0.500 0.420 0.666
Sc2 0.500 0.580 0.166

Computed properties:
E: -4.90 eV/atom
total magnetization: 0.0 μB/cell

***

[4]
PrDyEr2Se4 | PBE | relaxed

Unit cell a=7.074 b=4.033 c=7.239 alpha=90.00 beta=108.56 gamma=90.00
Fractional positions:
Pr1 0.000 0.000 0.000
Dy1 0.500 0.500 0.000
Er1 0.000 0.500 0.500
Er2 0.500 0.000 0.500
Se1 0.254 0.000 0.740
Se2 0.262 0.500 0.265
Se3 0.738 0.500 0.735
Se4 0.746 0.000 0.260

Computed properties:
formation energy from raw total energies: -1741 meV/atom
total magnetization: 0.0 μB/cell

***

[5]
PrDy4Er3Se8 | PBE | relaxed

Unit cell a=8.166 b=8.166 c=8.166 alpha=60.13 beta=60.13 gamma=60.13
Fractional positions:
Pr1 0.000 0.000 0.000
Dy1 0.000 0.000 0.500
Dy2 0.000 0.500 0.000
Dy3 0.500 0.000 0.000
Dy4 0.500 0.500 0.500
Er1 0.000 0.500 0.500
Er2 0.500 0.000 0.500
Er3 0.500 0.500 0.000
Se1 0.251 0.251 0.251
Se2 0.256 0.256 0.742
Se3 0.256 0.742 0.256
Se4 0.258 0.744 0.744
Se5 0.742 0.256 0.256
Se6 0.744 0.258 0.744
Se7 0.744 0.744 0.258
Se8 0.749 0.749 0.749

Computed properties:
formation energy from raw total energies: -1729 meV/atom
total magnetization: 0.0 μB/cell

***

[6]
Pr4DyEr3Se8 | PBE | relaxed

Unit cell a=8.460 b=8.460 c=8.460 alpha=57.83 beta=57.83 gamma=57.83
Fractional positions:
Pr1 0.000 0.000 0.000
Pr2 0.000 0.500 0.500
Pr3 0.500 0.000 0.500
Pr4 0.500 0.500 0.000
Dy1 0.500 0.500 0.500
Er1 0.000 0.000 0.500
Er2 0.000 0.500 0.000
Er3 0.500 0.000 0.000
Se1 0.241 0.744 0.744
Se2 0.243 0.243 0.243
Se3 0.256 0.256 0.759
Se4 0.256 0.759 0.256
Se5 0.744 0.241 0.744
Se6 0.744 0.744 0.241
Se7 0.757 0.757 0.757
Se8 0.759 0.256 0.256

Computed properties:
formation energy from raw total energies: -1784 meV/atom
total magnetization: 0.0 μB/cell

***

[7]
PrDyEr2Se6 | PBE | relaxed

Unit cell a=7.717 b=7.717 c=7.717 alpha=56.14 beta=56.14 gamma=56.14
Fractional positions:
Pr1 0.000 0.000 0.000
Dy1 0.494 0.494 0.494
Er1 0.296 0.296 0.296
Er2 0.800 0.800 0.800
Se1 0.083 0.678 0.420
Se2 0.197 0.582 0.900
Se3 0.420 0.083 0.678
Se4 0.582 0.900 0.197
Se5 0.678 0.420 0.083
Se6 0.900 0.197 0.582

Computed properties:
formation energy from raw total energies: -1842 meV/atom
total magnetization: 0.0 μB/cell

***

[8]
Pr3Dy3ErSe8 | PBE | relaxed

Unit cell a=8.356 b=8.356 c=8.356 alpha=59.18 beta=59.18 gamma=59.18
Fractional positions:
Pr1 0.000 0.500 0.500
Pr2 0.500 0.000 0.500
Pr3 0.500 0.500 0.000
Dy1 0.000 0.000 0.500
Dy2 0.000 0.500 0.000
Dy3 0.500 0.000 0.000
Er1 0.500 0.500 0.500
Se1 0.242 0.747 0.747
Se2 0.245 0.245 0.245
Se3 0.253 0.253 0.758
Se4 0.253 0.758 0.253
Se5 0.747 0.242 0.747
Se6 0.747 0.747 0.242
Se7 0.755 0.755 0.755
Se8 0.758 0.253 0.253

Computed properties:
formation energy from raw total energies: -1852 meV/atom
total magnetization: 0.0 μB/cell

***

[9]
Pr2Dy3ErSe6 | PBE | relaxed

Unit cell a=9.247 b=9.247 c=8.338 alpha=103.24 beta=103.24 gamma=25.64
Fractional positions:
Pr1 0.169 0.169 0.337
Pr2 0.831 0.831 0.663
Dy1 0.172 0.172 0.834
Dy2 0.500 0.500 0.500
Dy3 0.828 0.828 0.166
Er1 0.500 0.500 0.000
Se1 0.005 0.005 0.756
Se2 0.337 0.337 0.929
Se3 0.338 0.338 0.407
Se4 0.662 0.662 0.593
Se5 0.663 0.663 0.071
Se6 0.995 0.995 0.244

Computed properties:
formation energy from raw total energies: -1770 meV/atom
total magnetization: 0.0 μB/cell

***

[10]
Pr3DyEr2Se6 | PBE | relaxed

Unit cell a=7.109 b=7.109 c=7.380 alpha=99.23 beta=99.23 gamma=120.21
Fractional positions:
Pr1 0.000 0.000 0.000
Pr2 0.335 0.665 0.000
Pr3 0.665 0.335 0.000
Dy1 0.500 0.500 0.500
Er1 0.166 0.834 0.500
Er2 0.834 0.166 0.500
Se1 0.088 0.423 0.270
Se2 0.241 0.241 0.729
Se3 0.423 0.088 0.270
Se4 0.577 0.912 0.730
Se5 0.759 0.759 0.271
Se6 0.912 0.577 0.730

Computed properties:
formation energy from raw total energies: -1789 meV/atom
total magnetization: 0.0 μB/cell

***

[11]
Pr3DyEr3Se8 | PBE | relaxed

Unit cell a=8.331 b=8.331 c=8.331 alpha=59.09 beta=59.09 gamma=59.09
Fractional positions:
Pr1 0.000 0.500 0.500
Pr2 0.500 0.000 0.500
Pr3 0.500 0.500 0.000
Dy1 0.500 0.500 0.500
Er1 0.000 0.000 0.500
Er2 0.000 0.500 0.000
Er3 0.500 0.000 0.000
Se1 0.237 0.750 0.750
Se2 0.243 0.243 0.243
Se3 0.250 0.250 0.763
Se4 0.250 0.763 0.250
Se5 0.750 0.237 0.750
Se6 0.750 0.750 0.237
Se7 0.757 0.757 0.757
Se8 0.763 0.250 0.250

Computed properties:
formation energy from raw total energies: -1841 meV/atom
total magnetization: 0.0 μB/cell

***

[12]
PrDy2ErSe4 | PBE | relaxed

Unit cell a=7.092 b=4.052 c=7.247 alpha=90.00 beta=108.68 gamma=90.00
Fractional positions:
Pr1 0.000 0.000 0.000
Dy1 0.500 0.000 0.500
Dy2 0.500 0.500 0.000
Er1 0.000 0.500 0.500
Se1 0.252 0.000 0.741
Se2 0.260 0.500 0.263
Se3 0.740 0.500 0.737
Se4 0.748 0.000 0.259

Computed properties:
formation energy from raw total energies: -1750 meV/atom
total magnetization: 0.0 μB/cell

***

[13]
PrSmDyEr3 | PBE | relaxed

Unit cell a=10.221 b=10.221 c=7.099 alpha=90.16 beta=90.16 gamma=31.77
Fractional positions:
Pr1 0.145 0.145 0.036
Pr2 0.855 0.855 0.964
Sm1 0.149 0.149 0.456
Sm2 0.851 0.851 0.544
Dy1 0.446 0.446 0.736
Dy2 0.554 0.554 0.264
Er1 0.024 0.024 0.740
Er2 0.278 0.278 0.754
Er3 0.337 0.337 0.261
Er4 0.663 0.663 0.739
Er5 0.722 0.722 0.246
Er6 0.976 0.976 0.260

Computed properties:
E: -4.42 eV/atom
total magnetization: 0.0 μB/cell

***

[14]
Pr2SmDy2Er | PBE | relaxed

Unit cell a=7.073 b=5.696 c=9.864 alpha=90.00 beta=90.00 gamma=90.00
Fractional positions:
Pr1 0.000 0.000 0.000
Pr2 0.250 0.500 0.178
Pr3 0.500 0.000 0.000
Pr4 0.750 0.500 0.822
Sm1 0.250 0.000 0.658
Sm2 0.750 0.000 0.342
Dy1 0.250 0.000 0.332
Dy2 0.250 0.500 0.836
Dy3 0.750 0.000 0.668
Dy4 0.750 0.500 0.164
Er1 0.000 0.500 0.500
Er2 0.500 0.500 0.500

Computed properties:
E: -4.61 eV/atom
total magnetization: 0.0 μB/cell

***

[15]
PrSmDyEr | PBE | relaxed

Unit cell a=5.727 b=5.727 c=5.727 alpha=60.00 beta=60.00 gamma=60.00
Fractional positions:
Pr1 0.000 0.000 0.000
Sm1 0.500 0.500 0.500
Dy1 0.750 0.750 0.750
Er1 0.250 0.250 0.250

Computed properties:
E above lowest polymorph: 95 meV/atom
total magnetization: 0.0 μB/cell

***

[16]
PrSm4Dy2Er | PBE | relaxed

Unit cell a=9.551 b=9.551 c=6.865 alpha=111.04 beta=111.04 gamma=88.38
Fractional positions:
Pr1 0.000 0.500 0.000
Pr2 0.500 0.000 0.500
Sm1 0.247 0.251 0.493
Sm2 0.249 0.751 0.000
Sm3 0.249 0.751 0.500
Sm4 0.251 0.247 0.993
Sm5 0.749 0.753 0.007
Sm6 0.751 0.249 0.000
Sm7 0.751 0.249 0.500
Sm8 0.753 0.749 0.507
Dy1 0.000 0.500 0.500
Dy2 0.500 0.000 0.000
Dy3 0.500 0.500 0.000
Dy4 0.500 0.500 0.500
Er1 0.000 0.000 0.000
Er2 0.000 0.000 0.500

Computed properties:
E: -4.27 eV/atom
total magnetization: 1.8 μB/cell

***

[17]
PrSm5Dy2Er | PBE | relaxed

Unit cell a=10.508 b=10.508 c=10.735 alpha=90.00 beta=90.00 gamma=148.84
Fractional positions:
Pr1 0.203 0.797 0.500
Pr2 0.797 0.203 0.000
Sm1 0.017 0.983 0.515
Sm2 0.282 0.718 0.797
Sm3 0.298 0.702 0.195
Sm4 0.394 0.606 0.516
Sm5 0.479 0.521 0.232
Sm6 0.521 0.479 0.732
Sm7 0.606 0.394 0.016
Sm8 0.702 0.298 0.695
Sm9 0.718 0.282 0.297
Sm10 0.983 0.017 0.015
Dy1 0.109 0.891 0.228
Dy2 0.116 0.884 0.810
Dy3 0.884 0.116 0.310
Dy4 0.891 0.109 0.728
Er1 0.411 0.589 0.949
Er2 0.589 0.411 0.449

Computed properties:
E: -4.54 eV/atom
total magnetization: 0.0 μB/cell

***

[18]
Pr3SmDy2Er6 | PBE | relaxed

Unit cell a=6.203 b=6.203 c=11.763 alpha=95.03 beta=95.03 gamma=119.98
Fractional positions:
Pr1 0.000 0.000 0.000
Pr2 0.333 0.667 0.000
Pr3 0.667 0.333 0.000
Sm1 0.500 0.500 0.500
Dy1 0.167 0.833 0.500
Dy2 0.833 0.167 0.500
Er1 0.084 0.418 0.253
Er2 0.249 0.249 0.747
Er3 0.418 0.084 0.253
Er4 0.582 0.916 0.747
Er5 0.751 0.751 0.253
Er6 0.916 0.582 0.747

Computed properties:
E: -4.62 eV/atom
total magnetization: 0.0 μB/cell

***

[19]
PrSmDy2Er4 | PBE | relaxed

Unit cell a=7.119 b=7.130 c=10.009 alpha=90.00 beta=89.95 gamma=89.86
Fractional positions:
Pr1 0.000 0.000 0.000
Pr2 0.500 0.000 0.000
Sm1 0.000 0.000 0.500
Sm2 0.000 0.500 0.000
Dy1 0.000 0.500 0.500
Dy2 0.500 0.000 0.500
Dy3 0.500 0.500 0.000
Dy4 0.500 0.500 0.500
Er1 0.251 0.252 0.253
Er2 0.251 0.252 0.748
Er3 0.251 0.748 0.252
Er4 0.251 0.748 0.748
Er5 0.749 0.252 0.252
Er6 0.749 0.252 0.748
Er7 0.749 0.748 0.252
Er8 0.749 0.748 0.747

Computed properties:
E: -4.60 eV/atom
total magnetization: 0.0 μB/cell